# 1
Density functional theory data (PBE) for crystalline LiPrGe2Rh at its relaxed geometry.

Formation energy from the elements: -718 meV per atom
ρ: 7.01 g cm⁻³
Size of the total moment: 0.00 μB per formula unit

a b c (Å): 4.2274 4.2274 10.4917
angles (deg): 90.00 90.00 90.00
Closest atoms and distances in Å follow each position.
Space group I-4m2 (No. 119)
Symmetry-distinct sites (fractional):
Li 0.0000 0.0000 0.0000 (multiplicity 2)  4 Ge 2.50
Pr 0.0000 0.5000 0.2500 (multiplicity 2)  8 Ge 3.25, 4 Li 3.37, 4 Rh 3.37
Ge 0.0000 0.5000 0.6280 (multiplicity 4)  2 Li 2.50, 2 Rh 2.50, 1 Ge 2.56
Rh 0.0000 0.0000 0.5000 (multiplicity 2)  4 Ge 2.50

# 2
Density functional theory data (PBE) for crystalline LiPr2GeS5 at its relaxed geometry.

ρ: 4.47 g cm⁻³
Size of the total moment: 0.00 μB per formula unit
Uncorrected formation energy: -1421 meV/atom

a b c (Å): 4.0930 16.8419 11.2570
angles (deg): 90.00 90.00 90.00
Closest atoms and distances in Å follow each position.
Space group Cmc2_1 (No. 36)
Symmetry-distinct sites (fractional):
Li 0.0000 0.2149 0.0000 (multiplicity 4)  3 S 2.43-2.64
Pr 0.0000 0.1218 0.6620 (multiplicity 4)  8 S 2.89-3.17
Pr 0.0000 0.1328 0.2854 (multiplicity 4)  8 S 2.86-3.19
Ge 0.0000 0.4341 0.4398 (multiplicity 4)  4 S 2.32-2.33
S 0.0000 0.0458 0.0334 (multiplicity 4)  2 Ge 2.33
S 0.0000 0.2930 0.6475 (multiplicity 4)  2 Li 2.64, 3 Pr 2.86-2.89
S 0.0000 0.3156 0.3339 (multiplicity 4)  1 Ge 2.32
S 0.0000 0.3586 0.9796 (multiplicity 4)  1 Li 2.43
S 0.0000 0.4998 0.2575 (multiplicity 4)  1 Ge 2.33

# 3
Density functional theory data (PBE) for crystalline Li2PrGeSe4 at its relaxed geometry.

ρ: 4.90 g cm⁻³
Size of the total moment: 0.00 μB per formula unit
Uncorrected formation energy: -1060 meV/atom

a b c (Å): 6.8468 4.0388 7.0597
angles (deg): 90.00 109.52 90.00
Closest atoms and distances in Å follow each position.
Space group P2/m (No. 10)
Symmetry-distinct sites (fractional):
Li 0.0000 0.0000 0.0000 (multiplicity 1)  6 Se 2.71-2.76
Li 0.0000 0.5000 0.5000 (multiplicity 1)  6 Se 2.91-2.93
Pr 0.5000 0.0000 0.5000 (multiplicity 1)  6 Se 2.94-2.97
Ge 0.5000 0.5000 0.0000 (multiplicity 1)  6 Se 2.76-2.79
Se 0.2410 0.5000 0.2266 (multiplicity 2)  3 Li 2.76-2.93, 1 Ge 2.76, 2 Pr 2.94
Se 0.2483 0.0000 0.7702 (multiplicity 2)  3 Li 2.71-2.91, 2 Ge 2.79, 1 Pr 2.97

# 4
Density functional theory data (PBE) for crystalline LiPr2GeSe5 at its relaxed geometry.

ρ: 5.64 g cm⁻³
Size of the total moment: 0.00 μB per formula unit
Uncorrected formation energy: -1307 meV/atom

a b c (Å): 4.2478 17.7813 11.7927
angles (deg): 90.00 90.00 90.00
Closest atoms and distances in Å follow each position.
Space group Cmc2_1 (No. 36)
Symmetry-distinct sites (fractional):
Li 0.0000 0.2146 0.0000 (multiplicity 4)  3 Se 2.58-2.74
Pr 0.0000 0.1204 0.6611 (multiplicity 4)  8 Se 3.05-3.25
Pr 0.0000 0.1315 0.2836 (multiplicity 4)  8 Se 3.00-3.28
Ge 0.0000 0.4315 0.4397 (multiplicity 4)  4 Se 2.48-2.49
Se 0.0000 0.0451 0.0429 (multiplicity 4)  2 Ge 2.48
Se 0.0000 0.2918 0.6468 (multiplicity 4)  2 Li 2.74, 3 Pr 3.00-3.05
Se 0.0000 0.3135 0.3275 (multiplicity 4)  1 Ge 2.48
Se 0.0000 0.3588 0.9773 (multiplicity 4)  1 Li 2.58
Se 0.0000 0.4995 0.2554 (multiplicity 4)  1 Ge 2.49